# 1
Entry from Alexandria via LeMat-Bulk: a relaxed structure of RbBi2Pb6 (PBE).

## Properties
Energy of formation from the pure elements: -0.081 eV per atom

Cell and atoms, written as CIF:
```
data_RbBi2Pb6
_chemical_formula_sum 'Rb1 Bi2 Pb6'
_symmetry_space_group_name_H-M 'P 4/m m m'
_symmetry_Int_Tables_number 123
_symmetry_space_group_name_Hall '-P 4 2'
_cell_length_a 5.031
_cell_length_b 5.031
_cell_length_c 12.662
_cell_angle_alpha 90.00
_cell_angle_beta 90.00
_cell_angle_gamma 90.00
loop_
_atom_site_label
_atom_site_type_symbol
_atom_site_fract_x
_atom_site_fract_y
_atom_site_fract_z
Rb1 Rb 0.000 0.000 0.000
Bi1 Bi 0.500 0.500 0.126
Pb1 Pb 0.000 0.000 0.500
Pb2 Pb 0.000 0.500 0.298
Pb3 Pb 0.500 0.500 0.500
```


# 2
Entry from Alexandria via LeMat-Bulk: a relaxed structure of Ga2NiH6 (PBE).

## Properties
E: -0.1180 hartree per atom

Cell and atoms, written as CIF:
```
data_Ga2NiH6
_chemical_formula_sum 'Ga8 Ni4 H24'
_symmetry_space_group_name_H-M 'F m -3 m'
_symmetry_Int_Tables_number 225
_symmetry_space_group_name_Hall '-F 4 2 3'
_cell_length_a 6.923
_cell_length_b 6.923
_cell_length_c 6.923
_cell_angle_alpha 90.00
_cell_angle_beta 90.00
_cell_angle_gamma 90.00
loop_
_atom_site_label
_atom_site_type_symbol
_atom_site_fract_x
_atom_site_fract_y
_atom_site_fract_z
Ga1 Ga 0.250 0.250 0.250
Ni1 Ni 0.000 0.000 0.000
H1 H 0.000 0.000 0.228
```


# 3
Entry from Alexandria via LeMat-Bulk: a relaxed structure of Re2TcHW (PBE).

## Properties
Distance to the lowest polymorph of the same formula: 0.00 eV per formula unit

Cell and atoms, written as CIF:
```
data_Re2TcHW
_chemical_formula_sum 'Re2 Tc1 H1 W1'
_symmetry_space_group_name_H-M 'P 4/m m m'
_symmetry_Int_Tables_number 123
_symmetry_space_group_name_Hall '-P 4 2'
_cell_length_a 3.977
_cell_length_b 3.977
_cell_length_c 3.968
_cell_angle_alpha 90.00
_cell_angle_beta 90.00
_cell_angle_gamma 90.00
loop_
_atom_site_label
_atom_site_type_symbol
_atom_site_fract_x
_atom_site_fract_y
_atom_site_fract_z
Re1 Re 0.000 0.500 0.000
Tc1 Tc 0.000 0.000 0.500
H1 H 0.000 0.000 0.000
W1 W 0.500 0.500 0.500
```


# 4
Entry from Alexandria via LeMat-Bulk: a relaxed structure of ZnCdPbCl6 (PBE).

## Properties
ΔE_f (raw): -1.088 eV per atom

Cell and atoms, written as CIF:
```
data_ZnCdPbCl6
_chemical_formula_sum 'Zn2 Cd2 Pb2 Cl12'
_symmetry_space_group_name_H-M 'P -3 1 c'
_symmetry_Int_Tables_number 163
_symmetry_space_group_name_Hall '-P 3 2c'
_cell_length_a 6.6617
_cell_length_b 6.6617
_cell_length_c 12.5078
_cell_angle_alpha 90.00
_cell_angle_beta 90.00
_cell_angle_gamma 120.00
loop_
_atom_site_label
_atom_site_type_symbol
_atom_site_fract_x
_atom_site_fract_y
_atom_site_fract_z
Zn1 Zn 0.3333 0.6667 0.2500
Cd1 Cd 0.3333 0.6667 0.7500
Pb1 Pb 0.0000 0.0000 0.0000
Cl1 Cl 0.0187 0.3702 0.1350
```


Record order is preserved below.
N(E_F): 4.17; 1.59; 3.99; 0.00 states/eV per cell